1.
Here is crystalline La12YHo3 at its relaxed geometry from the Alexandria database. Energies are from PBE.

Summary:
E_tot (eV/cell): -79.2
Magnetic moment (μB per cell): 0.00

abc: 5.2051 5.2051 20.8133
angles: 90.00 90.00 90.00
Atoms (fractional coordinates):
Ho: 0.0000 0.0000 0.2501
Ho: 0.0000 0.0000 0.7499
Ho: 0.0000 0.0000 0.5000
Y: 0.0000 0.0000 0.0000
La: 0.5000 0.5000 0.2503
La: 0.5000 0.0000 0.3751
La: 0.5000 0.5000 0.0000
La: 0.0000 0.5000 0.1256
La: 0.5000 0.0000 0.8744
La: 0.5000 0.0000 0.6249
La: 0.5000 0.0000 0.1256
La: 0.0000 0.5000 0.8744
La: 0.0000 0.5000 0.3751
La: 0.0000 0.5000 0.6249
La: 0.5000 0.5000 0.5000
La: 0.5000 0.5000 0.7497

***

2.
Here is crystalline La2Y3Ho3 at its relaxed geometry from the Alexandria database. Energies are from PBE.

Summary:
Magnetic moment (μB per cell): 0.00
Distance to the lowest polymorph of the same formula (meV/atom): 0.0

abc: 5.1140 5.1143 10.7211
angles: 103.81 103.80 90.00
Atoms (fractional coordinates):
Y: 0.5000 0.0000 0.0000
Y: 0.6220 0.6220 0.2439
Y: 0.3780 0.3780 0.7561
Ho: 0.8780 0.8779 0.7559
Ho: 0.1220 0.1221 0.2441
Ho: 0.0000 0.5000 0.0000
La: 0.2502 0.7502 0.5005
La: 0.7498 0.2498 0.4995

***

3.
Here is crystalline La7Y12Ho at its relaxed geometry from the Alexandria database. Energies are from PBE.

Summary:
Magnetic moment (μB per cell): 0.00
Distance to the lowest polymorph of the same formula (meV/atom): 0.0

abc: 8.9012 8.9012 8.9012
angles: 85.89 85.89 85.89
Atoms (fractional coordinates):
La: 0.0849 0.1607 0.3945
La: 0.3945 0.0849 0.1607
La: 0.6055 0.9151 0.8393
La: 0.1607 0.3945 0.0849
La: 0.9151 0.8393 0.6055
La: 0.8393 0.6055 0.9151
La: 0.5000 0.5000 0.5000
Y: 0.6161 0.1369 0.4984
Y: 0.1369 0.4984 0.6161
Y: 0.2499 0.7283 0.8577
Y: 0.4984 0.6161 0.1369
Y: 0.7501 0.2717 0.1423
Y: 0.1423 0.7501 0.2717
Y: 0.3839 0.8631 0.5016
Y: 0.8577 0.2499 0.7283
Y: 0.5016 0.3839 0.8631
Y: 0.7283 0.8577 0.2499
Y: 0.8631 0.5016 0.3839
Y: 0.2717 0.1423 0.7501
Ho: 0.0000 0.0000 0.0000